# 1
! KRbAs4, optimized geometry, DFT PBE; values from VASP
&SYSTEM
  ibrav = 0, nat = 6, ntyp = 3
/
ATOMIC_SPECIES
K 39.10 K.upf
Rb 85.47 Rb.upf
As 74.92 As.upf
CELL_PARAMETERS angstrom
0.0000 4.3865 4.3865
4.3865 0.0000 4.3865
4.3865 4.3865 0.0000
ATOMIC_POSITIONS angstrom
K 0.0000 0.0000 0.0000
Rb 2.1933 2.1933 2.1933
As 5.6363 3.1367 3.1367
As 3.1367 5.6363 3.1367
As 3.1367 3.1367 5.6363
As 5.6363 5.6363 5.6363
! Energy relative to the elements = -0.129 eV/atom
! Uncorrected energy = -3.573 eV/atom
! Offset from the most stable computed form = 18.08 kJ/mol of atoms

---

# 2
! KSr2W, optimized geometry, DFT PBE; values from VASP
&SYSTEM
  ibrav = 0, nat = 4, ntyp = 3
/
ATOMIC_SPECIES
K 39.10 K.upf
Sr 87.62 Sr.upf
W 183.84 W.upf
CELL_PARAMETERS angstrom
3.3515 0.0000 0.0000
0.0000 3.3515 0.0000
0.0000 0.0000 12.7425
ATOMIC_POSITIONS angstrom
K 0.0000 0.0000 0.0000
Sr 0.0000 0.0000 7.6639
Sr 1.6757 1.6757 3.9851
W 1.6757 1.6757 9.9344
! Energy relative to the elements = 1.225 eV/atom
! Uncorrected energy = -3.128 eV/atom
! Offset from the most stable computed form = 23.93 kJ/mol of atoms

---

# 3
! BaSc2Se, optimized geometry, DFT PBE; values from VASP
&SYSTEM
  ibrav = 0, nat = 4, ntyp = 3
/
ATOMIC_SPECIES
Ba 137.33 Ba.upf
Sc 44.96 Sc.upf
Se 78.96 Se.upf
CELL_PARAMETERS angstrom
-1.8729 2.6744 5.6617
1.8729 -2.6744 5.6617
1.8729 2.6744 -5.6617
ATOMIC_POSITIONS angstrom
Ba 0.0000 0.0000 0.0000
Sc 1.8729 0.0000 3.4063
Sc 0.0000 0.0000 6.6754
Se 0.0000 2.6744 2.9098
! Uncorrected energy = -4.845 eV/atom

---

# 4
! V3NiBi, optimized geometry, DFT PBE; values from VASP
&SYSTEM
  ibrav = 0, nat = 5, ntyp = 3
/
ATOMIC_SPECIES
V 50.94 V.upf
Ni 58.69 Ni.upf
Bi 208.98 Bi.upf
CELL_PARAMETERS angstrom
4.4323 0.0000 0.0000
0.0000 4.4323 0.0000
0.0000 0.0000 4.4323
ATOMIC_POSITIONS angstrom
V 0.0000 0.0000 2.2161
V 0.0000 2.2161 0.0000
V 2.2161 0.0000 0.0000
Ni 0.0000 0.0000 0.0000
Bi 2.2161 2.2161 2.2161
! Energy relative to the elements = 0.693 eV/atom
! Uncorrected energy = -6.711 eV/atom
! Offset from the most stable computed form = 0.00 kJ/mol of atoms

---

# 5
! DySb3S6, optimized geometry, DFT PBE; values from VASP
&SYSTEM
  ibrav = 0, nat = 10, ntyp = 3
/
ATOMIC_SPECIES
Dy 162.50 Dy.upf
Sb 121.76 Sb.upf
S 32.06 S.upf
CELL_PARAMETERS angstrom
4.7936 -6.7606 0.0000
4.7936 6.7606 0.0000
0.0000 0.0000 3.9912
ATOMIC_POSITIONS angstrom
Dy 0.0000 0.0000 0.0000
Sb 2.3968 3.3803 1.9956
Sb 2.3968 -3.3803 1.9956
Sb 4.7936 0.0000 0.0000
S 4.7936 4.7802 1.9956
S 2.7087 1.6023 0.0000
S 2.7087 -1.6023 0.0000
S 6.8786 1.6023 0.0000
S 6.8786 -1.6023 0.0000
S 4.7936 -4.7802 1.9956
! Uncorrected energy = -4.689 eV/atom
! Offset from the most stable computed form = 18.68 kJ/mol of atoms

---

# 6
! BeZnInNiPd, optimized geometry, DFT PBE; values from VASP
&SYSTEM
  ibrav = 0, nat = 5, ntyp = 5
/
ATOMIC_SPECIES
Be 9.01 Be.upf
Zn 65.41 Zn.upf
In 114.82 In.upf
Ni 58.69 Ni.upf
Pd 106.42 Pd.upf
CELL_PARAMETERS angstrom
2.8499 0.0000 0.0000
-0.0039 4.4046 0.0000
-1.3611 -1.1706 5.7456
ATOMIC_POSITIONS angstrom
Be 0.0000 0.0000 0.0000
Zn 1.4792 1.0895 4.9650
In -0.0032 1.1778 2.2437
Ni 1.4210 3.3425 1.3116
Pd 0.0612 3.3652 3.9684
! Energy relative to the elements = -0.159 eV/atom
! Uncorrected energy = -3.902 eV/atom
! Offset from the most stable computed form = 9.18 kJ/mol of atoms

---

# 7
! Pm8AlSb2, optimized geometry, DFT PBE; values from VASP
&SYSTEM
  ibrav = 0, nat = 11, ntyp = 3
/
ATOMIC_SPECIES
Pm 145.00 Pm.upf
Al 26.98 Al.upf
Sb 121.76 Sb.upf
CELL_PARAMETERS angstrom
9.7776 -2.5614 0.0000
9.7776 2.5614 0.0000
-1.4448 0.0000 6.8460
ATOMIC_POSITIONS angstrom
Pm -0.0723 0.0000 1.8530
Pm 3.0210 0.0000 5.7259
Pm 5.9750 0.0000 3.2994
Pm 7.9583 0.0000 0.1182
Pm 10.1521 0.0000 6.7278
Pm 12.1354 0.0000 3.5466
Pm 15.0893 0.0000 1.1201
Pm 18.1827 0.0000 4.9930
Al 9.0552 0.0000 3.4230
Sb 3.1210 0.0000 1.8207
Sb 14.9893 0.0000 5.0253
! Uncorrected energy = -4.960 eV/atom

---

# 8
! BaPmAlZn, optimized geometry, DFT PBE; values from VASP
&SYSTEM
  ibrav = 0, nat = 4, ntyp = 4
/
ATOMIC_SPECIES
Ba 137.33 Ba.upf
Pm 145.00 Pm.upf
Al 26.98 Al.upf
Zn 65.41 Zn.upf
CELL_PARAMETERS angstrom
0.0000 3.9014 3.9014
3.9014 0.0000 3.9014
3.9014 3.9014 0.0000
ATOMIC_POSITIONS angstrom
Ba 0.0000 0.0000 0.0000
Pm 3.9014 3.9014 3.9014
Al 1.9507 1.9507 1.9507
Zn 5.8521 5.8521 5.8521
! Energy relative to the elements = -0.090 eV/atom
! Uncorrected energy = -3.013 eV/atom

---

# 9
! CePmZnIr, optimized geometry, DFT PBE; values from VASP
&SYSTEM
  ibrav = 0, nat = 4, ntyp = 4
/
ATOMIC_SPECIES
Ce 140.12 Ce.upf
Pm 145.00 Pm.upf
Zn 65.41 Zn.upf
Ir 192.22 Ir.upf
CELL_PARAMETERS angstrom
0.0000 3.5669 3.5669
3.5669 0.0000 3.5669
3.5669 3.5669 0.0000
ATOMIC_POSITIONS angstrom
Ce 0.0000 0.0000 0.0000
Pm 3.5669 3.5669 3.5669
Zn 5.3504 5.3504 5.3504
Ir 1.7835 1.7835 1.7835
! Energy relative to the elements = -0.455 eV/atom
! Uncorrected energy = -5.660 eV/atom

---

# 10
! TlZnCrI2, optimized geometry, DFT PBE; values from VASP
&SYSTEM
  ibrav = 0, nat = 5, ntyp = 4
/
ATOMIC_SPECIES
Tl 204.38 Tl.upf
Zn 65.41 Zn.upf
Cr 52.00 Cr.upf
I 126.90 I.upf
CELL_PARAMETERS angstrom
5.8664 0.0000 0.0000
0.0000 5.8664 0.0000
0.0000 0.0000 5.2134
ATOMIC_POSITIONS angstrom
Tl 0.0000 0.0000 0.0000
Zn 0.0000 0.0000 2.6067
Cr 2.9332 2.9332 0.0000
I 0.0000 2.9332 2.6067
I 2.9332 0.0000 2.6067
! Uncorrected energy = -2.801 eV/atom

---

# 11
! CeAl12Pd6, optimized geometry, DFT PBE; values from VASP
&SYSTEM
  ibrav = 0, nat = 19, ntyp = 3
/
ATOMIC_SPECIES
Ce 140.12 Ce.upf
Al 26.98 Al.upf
Pd 106.42 Pd.upf
CELL_PARAMETERS angstrom
5.6950 3.2880 2.9104
-5.6950 3.2880 2.9104
0.0000 -6.5760 2.9104
ATOMIC_POSITIONS angstrom
Ce 0.0000 0.0000 0.0000
Al -2.1936 -3.7994 4.3656
Al -4.3872 0.0000 4.3656
Al -1.4317 -0.8266 2.7714
Al 1.4317 -0.8266 2.7714
Al 0.0000 1.6531 2.7714
Al 2.1936 -3.7994 4.3656
Al -2.1936 3.7994 4.3656
Al 0.0000 -1.6531 5.9599
Al -1.4317 0.8266 5.9599
Al 1.4317 0.8266 5.9599
Al 4.3872 0.0000 4.3656
Al 2.1936 3.7994 4.3656
Pd 0.0000 -2.8181 3.6860
Pd -2.4405 1.4090 3.6860
Pd -2.4406 -1.4091 5.0453
Pd 2.4406 1.4090 3.6860
Pd 2.4405 -1.4090 5.0453
Pd 0.0000 2.8181 5.0453
! Energy relative to the elements = -0.619 eV/atom
! Uncorrected energy = -4.935 eV/atom

---

# 12
! Zn2WCl, optimized geometry, DFT PBE; values from VASP
&SYSTEM
  ibrav = 0, nat = 4, ntyp = 3
/
ATOMIC_SPECIES
Zn 65.41 Zn.upf
W 183.84 W.upf
Cl 35.45 Cl.upf
CELL_PARAMETERS angstrom
-1.3642 2.1339 6.1062
1.3642 -2.1339 6.1062
1.3642 2.1339 -6.1062
ATOMIC_POSITIONS angstrom
Zn 0.0000 0.0000 2.4719
Zn 0.0000 0.0000 9.7404
W 1.3642 0.0000 0.0000
Cl 0.0000 2.1339 0.0000
! Uncorrected energy = -3.745 eV/atom
! Offset from the most stable computed form = 42.10 kJ/mol of atoms

---

no.,total moment (μB/atom)
1,0.317
2,0.094
3,0.000
4,0.043
5,0.000
6,0.000
7,0.000
8,0.000
9,0.165
10,1.051
11,0.058
12,0.141